A plane-wave DFT calculation with PBE was carried out for an optimized crystal structure of CrAu2Se.

Cell lengths 3.359, 3.359, 8.001 Å; angles 90.02, 90.02, 59.85 degrees
Last column: magnetic moment on the atom in μB.
Positions (direct):
Au 0.124 0.124 0.983  -0.04
Au 0.791 0.791 0.720  0.02
Se 0.126 0.126 0.309  -0.16
Cr 0.459 0.459 0.487  2.69

## Properties
E_tot in eV/atom: -4.92
E_form (uncorrected) in eV per atom: -0.01


A plane-wave DFT calculation with PBE was carried out for an optimized crystal structure of Li2SmErGe2.

Cell lengths 4.424, 4.424, 7.243 Å; angles 90.00, 90.00, 120.00 degrees
Positions (direct):
Er 0.000 0.000 0.500
Li 0.667 0.333 0.275
Li 0.333 0.667 0.725
Sm 0.000 0.000 0.000
Ge 0.667 0.333 0.741
Ge 0.333 0.667 0.259

## Properties
E_tot in eV/atom: -4.41
Energy of formation from the pure elements in meV/atom: -683


A plane-wave DFT calculation with PBE was carried out for an optimized crystal structure of SrSb2Os.

Cell lengths 5.046, 5.046, 5.046 Å; angles 60.00, 60.00, 60.00 degrees
Positions (direct):
Sb 0.750 0.750 0.750
Sb 0.250 0.250 0.250
Os 0.500 0.500 0.500
Sr 0.000 0.000 0.000

## Properties
Energy above the most stable polymorph in this dataset in kJ per mole of atoms: 41.4
E_tot in eV/atom: -5.10
E_form (uncorrected) in eV per atom: 0.19


A plane-wave DFT calculation with PBE was carried out for an optimized crystal structure of ZnHgRu2.

Cell lengths 4.437, 4.437, 3.203 Å; angles 90.00, 90.00, 90.00 degrees
Last column: magnetic moment on the atom in μB.
Positions (direct):
Ru 0.000 0.000 0.000  0.90
Ru 0.500 0.500 0.000  0.90
Hg 0.000 0.500 0.500  0.03
Zn 0.500 0.000 0.500  -0.01

## Properties
Energy above the most stable polymorph in this dataset in kJ per mole of atoms: 33.6
E_tot in eV/atom: -4.54
Energy of formation from the pure elements in meV/atom: 490


A plane-wave DFT calculation with PBE was carried out for an optimized crystal structure of MnAlCo2C.

Cell lengths 3.762, 3.762, 3.756 Å; angles 90.00, 90.00, 90.00 degrees
Last column: magnetic moment on the atom in μB.
Positions (direct):
Al 0.500 0.500 0.500  -0.04
Mn 0.000 0.000 0.500  1.38
Co 0.500 0.000 0.000  0.59
Co 0.000 0.500 0.000  0.59
C 0.000 0.000 0.000  -0.06

## Properties
E_tot in eV/atom: -7.47
Energy of formation from the pure elements in meV/atom: -195


A plane-wave DFT calculation with PBE was carried out for an optimized crystal structure of CaRe.

Cell lengths 6.079, 6.079, 3.746 Å; angles 90.00, 90.00, 131.64 degrees
Positions (direct):
Re 0.565 0.435 0.750
Re 0.435 0.565 0.250
Ca 0.134 0.866 0.250
Ca 0.866 0.134 0.750

## Properties
Energy above the most stable polymorph in this dataset in kJ per mole of atoms: 22.9
E_tot in eV/atom: -6.68
Energy of formation from the pure elements in meV/atom: 540


A plane-wave DFT calculation with PBE was carried out for an optimized crystal structure of Fe2CoHg.

Cell lengths 4.280, 4.280, 4.280 Å; angles 60.00, 60.00, 60.00 degrees
Last column: magnetic moment on the atom in μB.
Positions (direct):
Co 0.500 0.500 0.500  1.52
Fe 0.750 0.750 0.750  2.73
Fe 0.000 0.000 0.000  2.65
Hg 0.250 0.250 0.250  -0.05

## Properties
E_tot in eV/atom: -5.72
Energy of formation from the pure elements in meV/atom: 363


A plane-wave DFT calculation with PBE was carried out for an optimized crystal structure of Hf2ZnHPd.

Cell lengths 4.375, 4.375, 3.911 Å; angles 90.00, 90.00, 90.00 degrees
Positions (direct):
Hf 0.000 0.500 0.000
Hf 0.500 0.000 0.000
Pd 0.000 0.000 0.500
H 0.000 0.000 0.000
Zn 0.500 0.500 0.500

## Properties
Energy above the most stable polymorph in this dataset in kJ per mole of atoms: 0.0
E_tot in eV/atom: -6.28